--- one ---
Here is a relaxed structure of Li5CuRh from Alexandria via LeMat-Bulk. Energies are from GGA-PBE.

## Properties
Magnetization = 0.0 μB/cell

abc: 7.173 5.885 10.080
angles: 90.00 90.12 90.00
Space group C2/c (No. 15)
Unique sites:
Li1 0.000 0.184 0.250
Li2 0.197 0.146 0.604
Li3 0.199 0.147 0.894
Cu1 0.000 0.409 0.750
Rh1 0.000 0.500 0.000

---

--- two ---
Here is a relaxed structure of Li5CuRh from Alexandria via LeMat-Bulk. Energies are from GGA-PBE.

## Properties
Magnetization = 0.0 μB/cell

abc: 4.033 4.033 6.660
angles: 90.00 90.00 90.00
Space group P4/mmm (No. 123)
Unique sites:
Li1 0.000 0.000 0.000
Li2 0.000 0.500 0.262
Cu1 0.000 0.000 0.500
Rh1 0.500 0.500 0.000

---

Of them, one has the highest stability.

---

--- one ---
Here is a relaxed structure of LiCu3Rh from Alexandria via LeMat-Bulk. Energies are from GGA-PBE.

## Properties
Magnetization = 0.0 μB/cell

abc: 4.299 4.473 13.712
angles: 90.00 108.05 90.00
Space group P2_1/c (No. 14)
Unique sites:
Li1 0.053 0.161 0.303
Cu1 0.254 0.164 0.504
Cu2 0.351 0.676 0.601
Cu3 0.452 0.182 0.703
Rh1 0.149 0.664 0.399

---

--- two ---
Here is a relaxed structure of LiCu3Rh from Alexandria via LeMat-Bulk. Energies are from GGA-PBE.

## Properties
Magnetization = 0.0 μB/cell

abc: 4.671 4.671 4.671
angles: 90.00 90.00 90.00
Space group Pm-3m (No. 221)
Unique sites:
Li1 0.000 0.000 0.000
Cu1 0.000 0.500 0.500
Rh1 0.500 0.500 0.500

---

Of them, one has the highest stability.

---

--- one ---
Here is a relaxed structure of LiCu3Rh from Alexandria via LeMat-Bulk. Energies are from GGA-PBE.

## Properties
Magnetization = 0.0 μB/cell

abc: 3.990 3.990 3.990
angles: 90.00 90.00 90.00
Space group Pm-3m (No. 221)
Unique sites:
Li1 0.000 0.000 0.000
Cu1 0.000 0.000 0.500
Rh1 0.500 0.500 0.500

---

--- two ---
Here is a relaxed structure of LiCu3Rh from Alexandria via LeMat-Bulk. Energies are from GGA-PBE.

## Properties
Magnetization = 0.0 μB/cell

abc: 7.229 5.315 7.193
angles: 90.00 90.00 90.00
Space group Pnma (No. 62)
Unique sites:
Li1 0.000 0.000 0.000
Cu1 0.131 0.008 0.375
Cu2 0.167 0.750 0.666
Rh1 0.161 0.250 0.677

---

Of them, two has the highest stability.